[1]
Entry from Alexandria via LeMat-Bulk: crystalline CsRuS2 at its relaxed geometry (PBE).

As for the distance to the lowest polymorph of the same formula: 1.455 eV per atom. As for the uncorrected energy: -3.84 eV/atom. The raw formation energy is 760 meV/atom.

The space group is Fm-3m (No. 225) and the conventional cell measures 6.956, 6.956 and 6.956 Å, with angles of 90.00, 90.00 and 90.00 degrees. The asymmetric unit holds Cs at (0.000, 0.000, 0.000), Ru at (0.000, 0.000, 0.500) and S at (0.250, 0.250, 0.250).


[2]
Entry from Alexandria via LeMat-Bulk: crystalline Rb2Pt2Pb at its relaxed geometry (PBE).

As for the distance to the lowest polymorph of the same formula: 0.143 eV per atom. The calculation puts the formation enthalpy at 0 K at -0.03 eV per atom. As for the uncorrected energy: -3.57 eV/atom.

The space group is P4/mbm (No. 127) and the conventional cell measures 7.220, 7.220 and 5.687 Å, with angles of 90.00, 90.00 and 90.00 degrees. The asymmetric unit holds Rb at (0.174, 0.326, 0.000), Pt at (0.127, 0.627, 0.500) and Pb at (0.000, 0.000, 0.500).